# PBE-GGA TbYErMg, relaxed
data_TbYErMg
_chemical_formula_sum 'Tb4 Y4 Er4 Mg4'
_cell_length_a 7.773
_cell_length_b 7.773
_cell_length_c 7.773
_cell_angle_alpha 90.00
_cell_angle_beta 90.00
_cell_angle_gamma 90.00
_space_group_name_H-M_alt 'F -4 3 m'
_space_group_IT_number 216
_space_group_name_Hall 'F -4 2 3'
loop_
_atom_site_label
_atom_site_type_symbol
_atom_site_fract_x
_atom_site_fract_y
_atom_site_fract_z
Tb1 Tb 0.000 0.000 0.000
Y1 Y 0.000 0.000 0.500
Er1 Er 0.250 0.250 0.750
Mg1 Mg 0.250 0.250 0.250
# - Uncorrected energy: -4.274 eV/atom
# - Spin magnetization: 0.0 Bohr magnetons per cell
# - V: 469.7 Å³/cell
# - ΔE_f: 39.3 meV/atom